[1]
The following is a PBE calculation of crystalline BeRhF at its relaxed geometry, from Alexandria.

```
data_BeRhF
_cell_length_a 3.1077
_cell_length_b 3.1077
_cell_length_c 6.7743
_cell_angle_alpha 90.00
_cell_angle_beta 90.00
_cell_angle_gamma 90.00
_space_group_name_H-M_alt 'P 4/n m m'
_space_group_IT_number 129
loop_
_space_group_symop_operation_xyz
'x,y,z'
'-x,-y,-z'
'-y+1/2,x,z'
'y+1/2,-x,-z'
'-x+1/2,-y+1/2,z'
'x+1/2,y+1/2,-z'
'y,-x+1/2,z'
'-y,x+1/2,-z'
'x+1/2,-y,-z'
'-x+1/2,y,z'
'-y,-x,-z'
'y,x,z'
'-x,y+1/2,-z'
'x,-y+1/2,z'
'y+1/2,x+1/2,-z'
'-y+1/2,-x+1/2,z'
loop_
_atom_site_label
_atom_site_type_symbol
_atom_site_fract_x
_atom_site_fract_y
_atom_site_fract_z
Be1 Be 0.2500 0.2500 0.0753
Rh1 Rh 0.2500 0.2500 0.7433
F1 F 0.2500 0.7500 0.5000
```



[2]
The following is a PBE calculation of crystalline LaH3Ir at its relaxed geometry, from Alexandria.

```
data_LaH3Ir
_cell_length_a 4.4894
_cell_length_b 4.6851
_cell_length_c 6.0971
_cell_angle_alpha 71.34
_cell_angle_beta 89.55
_cell_angle_gamma 81.91
_space_group_name_H-M_alt 'P -1'
_space_group_IT_number 2
loop_
_space_group_symop_operation_xyz
'x,y,z'
'-x,-y,-z'
loop_
_atom_site_label
_atom_site_type_symbol
_atom_site_fract_x
_atom_site_fract_y
_atom_site_fract_z
La1 La 0.2469 0.1663 0.2197
H1 H 0.1959 0.0605 0.8111
H2 H 0.2693 0.7963 0.5864
H3 H 0.4622 0.6542 0.1345
Ir1 Ir 0.2352 0.4259 0.6792
```



It is found that the DOS(E_F) values, taken in the order of the records, are 3.9; 0.0 states/eV/cell.
It is found that the calculated total energy values, taken in the order of the records, are -4.70; -5.31 eV/atom.
It is found that the total magnetic moment values, taken in the order of the records, are 0.0; 0.0 Bohr magnetons per cell.